Compound: MnTcN2O
Source: Alexandria via LeMat-Bulk
Functional: GGA+U
Structure: optimized geometry

Cell: 3.9018 3.9018 3.8655 Å, 90.00 90.00 90.00°
Closest atoms and distances in Å follow each position.
Atoms (fractional coordinates):
Mn (0.0000, 0.0000, 0.0000)  8 N 2.75, 4 O 2.76
Tc (0.5000, 0.5000, 0.5000)  2 O 1.93, 4 N 1.95
N (0.0000, 0.5000, 0.5000)  2 Tc 1.95
N (0.5000, 0.0000, 0.5000)  2 Tc 1.95
O (0.5000, 0.5000, 0.0000)  2 Tc 1.93

D(E_F): 1.99 states/eV per cell
Space-group type: P4/mmm, No. 123
Final energy: -7.839 eV/atom
Size of the total moment: 4.60 μB/f.u.